Arrangement one

Below is an optimized crystal structure of TbEr7Sc2, with properties calculated at the GGA-PBE level.

```
data_TbEr7Sc2
_cell_length_a 5.2801
_cell_length_b 6.8795
_cell_length_c 16.2912
_cell_angle_alpha 90.00
_cell_angle_beta 90.00
_cell_angle_gamma 90.00
_space_group_name_H-M_alt 'I m m m'
_space_group_IT_number 71
_space_group_name_Hall '-I 2 2'
loop_
_atom_site_label
_atom_site_type_symbol
_atom_site_fract_x
_atom_site_fract_y
_atom_site_fract_z
Tb1 Tb 0.0000 0.0000 0.0000
Er1 Er 0.0000 0.0000 0.2024
Er2 Er 0.0000 0.2488 0.3875
Er3 Er 0.0000 0.5000 0.0000
Sc1 Sc 0.0000 0.5000 0.1991
```

* calculated density: 8.0 Mg/m³



Arrangement two

Below is an optimized crystal structure of TbEr7Sc2, with properties calculated at the GGA-PBE level.

```
data_TbEr7Sc2
_cell_length_a 8.7048
_cell_length_b 15.0625
_cell_length_c 5.5155
_cell_angle_alpha 90.00
_cell_angle_beta 90.00
_cell_angle_gamma 90.00
_space_group_name_H-M_alt 'C m m m'
_space_group_IT_number 65
_space_group_name_Hall '-C 2 2'
loop_
_atom_site_label
_atom_site_type_symbol
_atom_site_fract_x
_atom_site_fract_y
_atom_site_fract_z
Tb1 Tb 0.0000 0.0000 0.0000
Er1 Er 0.0000 0.2370 0.0000
Er2 Er 0.0000 0.5000 0.5000
Er3 Er 0.1805 0.1199 0.5000
Sc1 Sc 0.0000 0.2952 0.5000
```

* calculated density: 6.5 Mg/m³



Stability verdict: arrangement one, ahead by 629 meV/atom



Arrangement one

Below is an optimized crystal structure of Tb2Er2Sc3, with properties calculated at the GGA-PBE level.

```
data_Tb2Er2Sc3
_cell_length_a 9.2996
_cell_length_b 9.2996
_cell_length_c 9.2996
_cell_angle_alpha 90.00
_cell_angle_beta 90.00
_cell_angle_gamma 90.00
_space_group_name_H-M_alt 'I 21 3'
_space_group_IT_number 199
_space_group_name_Hall 'I 2b 2c 3'
loop_
_atom_site_label
_atom_site_type_symbol
_atom_site_fract_x
_atom_site_fract_y
_atom_site_fract_z
Tb1 Tb 0.0897 0.4103 0.5897
Er1 Er 0.2095 0.2095 0.2095
Sc1 Sc 0.0000 0.2500 0.9487
```

* calculated density: 6.5 Mg/m³



Arrangement two

Below is an optimized crystal structure of Tb2Er2Sc3, with properties calculated at the GGA-PBE level.

```
data_Tb2Er2Sc3
_cell_length_a 10.7815
_cell_length_b 4.8197
_cell_length_c 7.6692
_cell_angle_alpha 90.00
_cell_angle_beta 98.30
_cell_angle_gamma 90.00
_space_group_name_H-M_alt 'C 1 2/m 1'
_space_group_IT_number 12
_space_group_name_Hall '-C 2y'
loop_
_atom_site_label
_atom_site_type_symbol
_atom_site_fract_x
_atom_site_fract_y
_atom_site_fract_z
Tb1 Tb 0.2123 0.0000 0.1460
Er1 Er 0.0709 0.0000 0.7100
Sc1 Sc 0.0000 0.5000 0.0000
Sc2 Sc 0.1431 0.5000 0.4280
```

* calculated density: 6.6 Mg/m³



Stability verdict: arrangement two, ahead by 190 meV/atom



Arrangement one

Below is an optimized crystal structure of Tb8ErSc6, with properties calculated at the GGA-PBE level.

```
data_Tb8ErSc6
_cell_length_a 9.0448
_cell_length_b 9.0448
_cell_length_c 6.3857
_cell_angle_alpha 90.00
_cell_angle_beta 90.00
_cell_angle_gamma 120.00
_space_group_name_H-M_alt 'P -3'
_space_group_IT_number 147
_space_group_name_Hall '-P 3'
loop_
_atom_site_label
_atom_site_type_symbol
_atom_site_fract_x
_atom_site_fract_y
_atom_site_fract_z
Tb1 Tb 0.0375 0.6928 0.1120
Tb2 Tb 0.3333 0.6667 0.7782
Er1 Er 0.0000 0.0000 0.5000
Sc1 Sc 0.0665 0.3955 0.4018
```

* calculated density: 6.3 Mg/m³



Arrangement two

Below is an optimized crystal structure of Tb8ErSc6, with properties calculated at the GGA-PBE level.

```
data_Tb8ErSc6
_cell_length_a 9.4109
_cell_length_b 9.4109
_cell_length_c 17.1550
_cell_angle_alpha 90.00
_cell_angle_beta 90.00
_cell_angle_gamma 120.00
_space_group_name_H-M_alt 'R -3'
_space_group_IT_number 148
_space_group_name_Hall '-R 3'
loop_
_atom_site_label
_atom_site_type_symbol
_atom_site_fract_x
_atom_site_fract_y
_atom_site_fract_z
Tb1 Tb 0.0000 0.0000 0.0928
Tb2 Tb 0.0533 0.2397 0.6749
Er1 Er 0.0000 0.0000 0.5000
Sc1 Sc 0.0310 0.2958 0.1790
```

* calculated density: 6.5 Mg/m³



Stability verdict: arrangement two, ahead by 58 meV/atom



Arrangement one

Below is an optimized crystal structure of Tb2Er4Sc5, with properties calculated at the GGA-PBE level.

```
data_Tb2Er4Sc5
_cell_length_a 8.6300
_cell_length_b 3.4397
_cell_length_c 11.1959
_cell_angle_alpha 90.00
_cell_angle_beta 108.91
_cell_angle_gamma 90.00
_space_group_name_H-M_alt 'P 1 2/m 1'
_space_group_IT_number 10
_space_group_name_Hall '-P 2y'
loop_
_atom_site_label
_atom_site_type_symbol
_atom_site_fract_x
_atom_site_fract_y
_atom_site_fract_z
Tb1 Tb 0.1332 0.0000 0.4072
Er1 Er 0.2426 0.5000 0.7200
Er2 Er 0.2546 0.5000 0.1524
Sc1 Sc 0.0889 0.0000 0.8977
Sc2 Sc 0.4963 0.0000 0.6301
Sc3 Sc 0.5000 0.0000 0.0000
```

* calculated density: 6.4 Mg/m³



Arrangement two

Below is an optimized crystal structure of Tb2Er4Sc5, with properties calculated at the GGA-PBE level.

```
data_Tb2Er4Sc5
_cell_length_a 22.7174
_cell_length_b 3.3510
_cell_length_c 8.3115
_cell_angle_alpha 90.00
_cell_angle_beta 93.31
_cell_angle_gamma 90.00
_space_group_name_H-M_alt 'C 1 2/m 1'
_space_group_IT_number 12
_space_group_name_Hall '-C 2y'
loop_
_atom_site_label
_atom_site_type_symbol
_atom_site_fract_x
_atom_site_fract_y
_atom_site_fract_z
Tb1 Tb 0.0881 0.0000 0.1962
Er1 Er 0.0444 0.5000 0.8377
Er2 Er 0.2268 0.0000 0.3246
Sc1 Sc 0.0000 0.0000 0.5000
Sc2 Sc 0.1293 0.5000 0.5404
Sc3 Sc 0.1880 0.5000 0.9759
```

* calculated density: 6.4 Mg/m³



Stability verdict: arrangement one, ahead by 14 meV/atom